Here is an optimized crystal structure of Ac7Ni2Pt2 from Alexandria. Energies are from PBE.

Results
Space-group type ... Imm2, No. 44
DFT formation energy ... -496 meV per atom
Crystal system ... orthorhombic

Cell: 4.0966 10.0569 10.0569 Å, 61.56 78.25 78.25°
With the nearest neighbours (Å) after each atom.
Fractional coordinates of all 11 atoms:
1 Ac 0.5000 0.9685 0.0315  2 Ni 2.94
2 Ni 0.5000 0.3556 0.6444  6 Ac 3.01-3.21
3 Ac 0.1964 0.7055 0.9017  3 Pt 3.09-3.14
4 Ac 0.1161 0.1400 0.6278  2 Ni 3.01, 2 Pt 3.27
5 Ac 0.8839 0.3722 0.8600  2 Ni 3.01, 2 Pt 3.27
6 Ni 0.0000 0.7633 0.2367  6 Ac 2.94-3.18
7 Ac 0.3896 0.7208 0.5001  3 Ni 3.18-3.21, 2 Pt 3.23
8 Ac 0.6104 0.4999 0.2792  3 Ni 3.18-3.21, 2 Pt 3.23
9 Ac 0.8036 0.0983 0.2945  3 Pt 3.09-3.14
10 Pt 0.2595 0.3554 0.1256  7 Ac 3.09-3.27
11 Pt 0.7405 0.8744 0.6446  7 Ac 3.09-3.27

---

Here is an optimized crystal structure of Ac6Ni3Pt from Alexandria. Energies are from PBE.

Results
Space-group type ... P2_1/m, No. 11
DFT formation energy ... -368 meV per atom
Crystal system ... monoclinic

Cell: 4.2386 12.3161 13.3637 Å, 112.81 90.00 90.00°
With the nearest neighbours (Å) after each atom.
Fractional coordinates of all 20 atoms:
1 Ni 0.7500 0.4959 0.7306  6 Ac 2.89-3.00
2 Ac 0.2500 0.2530 0.2447  3 Ni 2.89-2.98
3 Ni 0.7500 0.8349 0.4376  6 Ac 2.94-3.08
4 Ni 0.7500 0.0822 0.1610  5 Ac 2.89-3.09
5 Ac 0.2500 0.4098 0.5728  3 Ni 2.89-2.96
6 Ac 0.7500 0.5902 0.4272  3 Ni 2.89-2.96
7 Ac 0.2500 0.9340 0.6003  4 Ni 2.94-3.27
8 Ac 0.2500 0.9030 0.0644  3 Ni 2.97-3.09
9 Ac 0.2500 0.5566 0.9026  2 Ni 3.00, 3 Pt 3.13-3.23
10 Ac 0.7500 0.0660 0.3997  4 Ni 2.94-3.27
11 Ni 0.2500 0.5041 0.2694  6 Ac 2.89-3.00
12 Ac 0.7500 0.0970 0.9356  3 Ni 2.97-3.09
13 Ac 0.7500 0.2567 0.7355  3 Ni 2.97-3.02, 2 Pt 3.16
14 Pt 0.2500 0.3038 0.9230  7 Ac 3.13-3.37
15 Ac 0.7500 0.7470 0.7553  3 Ni 2.89-2.98
16 Pt 0.7500 0.6962 0.0770  7 Ac 3.13-3.37
17 Ac 0.2500 0.7433 0.2645  3 Ni 2.97-3.02, 2 Pt 3.16
18 Ni 0.2500 0.9178 0.8390  5 Ac 2.89-3.09
19 Ni 0.2500 0.1651 0.5624  6 Ac 2.94-3.08
20 Ac 0.7500 0.4434 0.0974  2 Ni 3.00, 3 Pt 3.13-3.23

---

Number 1: DOS(E_F) 1.0409 states/eV per atom. Number 2: DOS(E_F) 0.8336 states/eV per atom.